No. 1
Below is a geometry-optimized Be2PBr structure, with properties calculated at the PBE level.

* ΔE to the lowest computed polymorph: 1.592 eV/atom
* formation energy from raw total energies: 4.76 eV per formula unit
* size of the total moment: 0.0 μB/cell
* total DFT energy (no corrections): -2.444 eV per atom

Cell lengths 4.4347, 4.4347, 4.4347 Å; angles 60.00, 60.00, 60.00 degrees
Last column: nearest neighbours and their distance in Å.
Positions (direct):
Be 0.2500 0.2500 0.2500  4 Br 2.72, 4 Be 2.72
P 0.7500 0.7500 0.7500  4 Br 2.72, 4 Be 2.72
Be 0.0000 0.0000 0.0000  4 Be 2.72, 4 P 2.72
Br 0.5000 0.5000 0.5000  4 P 2.72, 4 Be 2.72

=====

No. 2
Below is a geometry-optimized TaO2 structure, with properties calculated at the PBE level.

* formation energy from raw total energies: -7.58 eV per formula unit
* size of the total moment: 0.0 μB/cell
* total DFT energy (no corrections): -9.783 eV per atom

Cell lengths 4.1010, 6.5135, 6.6026 Å; angles 73.27, 90.02, 71.54 degrees
Last column: nearest neighbours and their distance in Å.
Positions (direct):
Ta 0.2153 0.5656 0.3102  5 O 1.93-2.14
O 0.6093 0.7776 0.6914  3 Ta 2.05-2.14
Ta 0.8887 0.2167 0.2950  4 O 1.90-2.05
O 0.0595 0.8755 0.3614  3 Ta 2.02-2.15
O 0.2809 0.4318 0.6762  3 Ta 2.05-2.22
Ta 0.7809 0.4322 0.6876  5 O 1.93-2.14
O 0.1538 0.6889 0.0051  2 Ta 1.90-1.93
O 0.9367 0.1223 0.6364  3 Ta 2.02-2.15
O 0.8424 0.3089 0.9927  2 Ta 1.90-1.93
O 0.7153 0.5660 0.3216  3 Ta 2.05-2.22
O 0.3869 0.2202 0.3064  3 Ta 2.05-2.14
Ta 0.1075 0.7812 0.7028  4 O 1.90-2.05

=====

No. 3
Below is a geometry-optimized NaLa2ZnB structure, with properties calculated at the PBE level.

* ΔE to the lowest computed polymorph: 0.000 eV/atom
* DFT formation energy: 96.7 kJ per mole of atoms
* size of the total moment: 1.1 μB/cell
* total DFT energy (no corrections): -2.823 eV per atom

Cell lengths 5.6393, 4.9196, 5.6393 Å; angles 90.00, 90.00, 90.00 degrees
Last column: nearest neighbours and their distance in Å.
Positions (direct):
La 0.5000 0.0000 0.0000  2 Zn 2.82
Na 0.0000 0.5000 0.0000  2 Zn 2.46
Zn 0.0000 0.0000 0.0000  2 Na 2.46
B 0.5000 0.5000 0.5000  8 La 3.74, 4 Na 3.99
La 0.0000 0.0000 0.5000  2 Zn 2.82

=====

No. 4
Below is a geometry-optimized Ba2SrHgCl structure, with properties calculated at the PBE level.

* formation energy from raw total energies: -1.13 eV per formula unit
* size of the total moment: 0.0 μB/cell
* total DFT energy (no corrections): -1.762 eV per atom

Cell lengths 7.4795, 5.4073, 7.4795 Å; angles 90.00, 90.00, 90.00 degrees
Last column: nearest neighbours and their distance in Å.
Positions (direct):
Ba 0.5000 0.0000 0.0000  2 Sr 3.74
Sr 0.0000 0.0000 0.0000  2 Cl 2.70
Ba 0.0000 0.0000 0.5000  2 Sr 3.74
Cl 0.0000 0.5000 0.0000  2 Sr 2.70
Hg 0.5000 0.5000 0.5000  8 Ba 4.61